PmAlZnNi3 | PBE | optimized geometry

## Properties
**VASP energy**: -4.729 eV per atom

a b c (Å): 5.4319 12.6055 5.6067
angles (deg): 90.00 90.00 90.00
Space group Cmcm (No. 63)
One atom of each set of equivalent atoms:
Pm1 0.0000 0.1853 0.2500
Al1 0.0000 0.4184 0.2500
Zn1 0.0000 0.1435 0.7500
Ni1 0.0000 0.3616 0.7500
Ni2 0.2196 0.0000 0.0000